Entry 1:
FeAgRu2Cl, relaxed, DFT GGA-PBE; calculated volume = 80.7 Å³ per cell; SG = P4/mmm; uncorrected formation energy = 0.97 eV/atom
1.0
4.388 0.000 0.000
0.000 4.388 0.000
0.000 0.000 4.189
Fe Ag Ru Cl
1 1 2 1
Direct
0.000 0.000 0.000
0.500 0.500 0.000
0.000 0.500 0.500
0.500 0.000 0.500
0.000 0.000 0.500

Entry 2:
Rb3Ce2DySe6, relaxed, DFT GGA-PBE; calculated volume = 394.3 Å³ per cell; SG = C2/m; uncorrected formation energy = -1.69 eV/atom
1.0
3.775 -6.539 0.000
3.775 6.539 0.000
-2.518 0.000 7.988
Rb Ce Dy Se
3 2 1 6
Direct
0.000 0.000 0.000
0.332 0.668 0.000
0.668 0.332 0.000
0.167 0.833 0.500
0.833 0.167 0.500
0.500 0.500 0.500
0.109 0.434 0.302
0.241 0.241 0.698
0.434 0.109 0.302
0.566 0.891 0.698
0.759 0.759 0.302
0.891 0.566 0.698

Entry 3:
La2DyGe3Pt4, relaxed, DFT GGA-PBE; calculated volume = 212.6 Å³ per cell; SG = P-4m2; energy relative to the elements = -1.005 eV/atom
1.0
4.383 0.000 0.000
0.000 4.383 0.000
0.000 0.000 11.070
La Dy Ge Pt
2 1 3 4
Direct
0.000 0.500 0.226
0.500 0.000 0.774
0.000 0.000 0.500
0.000 0.500 0.880
0.500 0.000 0.120
0.500 0.500 0.500
0.000 0.000 0.000
0.000 0.500 0.655
0.500 0.000 0.345
0.500 0.500 0.000

Entry 4:
SbMo2S, relaxed, DFT GGA-PBE; calculated volume = 65.7 Å³ per cell; SG = Fm-3m; distance to the lowest polymorph of the same formula = 0.000 eV/atom; uncorrected formation energy = 0.28 eV/atom
1.0
0.000 3.203 3.203
3.203 0.000 3.203
3.203 3.203 0.000
Sb Mo S
1 2 1
Direct
0.000 0.000 0.000
0.250 0.250 0.250
0.750 0.750 0.750
0.500 0.500 0.500

Entry 5:
AlPtIN2, relaxed, DFT GGA-PBE; calculated volume = 109.9 Å³ per cell; SG = P4/mmm; distance to the lowest polymorph of the same formula = 0.000 eV/atom; uncorrected formation energy = 0.96 eV/atom
1.0
3.729 0.000 0.000
0.000 3.729 0.000
0.000 0.000 7.906
Al Pt I N
1 1 1 2
Direct
0.000 0.000 0.000
0.500 0.500 0.500
0.000 0.000 0.500
0.000 0.500 0.000
0.500 0.000 0.000

Entry 6:
SrNi3Rh, relaxed, DFT GGA-PBE; calculated volume = 96.6 Å³ per cell; SG = Pm-3m; distance to the lowest polymorph of the same formula = 1.919 eV/atom; energy relative to the elements = 1.982 eV/atom
1.0
4.589 0.000 0.000
0.000 4.589 0.000
0.000 0.000 4.589
Sr Ni Rh
1 3 1
Direct
0.000 0.000 0.000
0.000 0.000 0.500
0.000 0.500 0.000
0.500 0.000 0.000
0.500 0.500 0.500

Entry 7:
Cu4RhPb, relaxed, DFT GGA-PBE; calculated volume = 87.0 Å³ per cell; SG = F-43m; energy relative to the elements = 0.140 eV/atom
1.0
0.000 3.517 3.517
3.517 0.000 3.517
3.517 3.517 0.000
Cu Rh Pb
4 1 1
Direct
0.376 0.376 0.376
0.376 0.376 0.873
0.376 0.873 0.376
0.873 0.376 0.376
0.750 0.750 0.750
0.000 0.000 0.000

Entry 8:
NdIr2Rh2, relaxed, DFT GGA-PBE; calculated volume = 188.1 Å³ per cell; SG = I4/mmm; energy relative to the elements = -0.181 eV/atom
1.0
-2.074 2.074 10.934
2.074 -2.074 10.934
2.074 2.074 -10.934
Nd Ir Rh
2 4 4
Direct
0.119 0.119 0.000
0.881 0.881 0.000
0.000 0.500 0.500
0.320 0.320 0.000
0.500 0.000 0.500
0.680 0.680 0.000
0.250 0.750 0.500
0.428 0.428 0.000
0.572 0.572 0.000
0.750 0.250 0.500

Entry 9:
Na2MoC, relaxed, DFT GGA-PBE; calculated volume = 206.7 Å³ per cell; SG = I-42d; energy relative to the elements = 1.058 eV/atom
1.0
-5.075 5.075 2.006
5.075 -5.075 2.006
5.075 5.075 -2.006
Na Mo C
4 2 2
Direct
0.375 0.204 0.329
0.796 0.125 0.171
0.875 0.046 0.671
0.954 0.625 0.829
0.250 0.750 0.500
0.500 0.500 0.000
0.000 0.000 0.000
0.750 0.250 0.500

Entry 10:
Ce2Si3Ir4Ru, relaxed, DFT GGA-PBE; calculated volume = 174.7 Å³ per cell; SG = P-4m2; uncorrected formation energy = -0.85 eV/atom
1.0
4.131 0.000 0.000
0.000 4.131 0.000
0.000 0.000 10.235
Ce Si Ir Ru
2 3 4 1
Direct
0.000 0.500 0.248
0.500 0.000 0.752
0.000 0.500 0.872
0.500 0.000 0.128
0.500 0.500 0.500
0.000 0.000 0.000
0.000 0.500 0.638
0.500 0.000 0.362
0.500 0.500 0.000
0.000 0.000 0.500

Entry 11:
Si2SbRu, relaxed, DFT GGA-PBE; calculated volume = 66.7 Å³ per cell; SG = F-43m; uncorrected formation energy = 0.39 eV/atom
1.0
0.000 3.219 3.219
3.219 0.000 3.219
3.219 3.219 0.000
Si Sb Ru
2 1 1
Direct
0.000 0.000 0.000
0.250 0.250 0.250
0.750 0.750 0.750
0.500 0.500 0.500

Entry 12:
PrAlCd, relaxed, DFT GGA-PBE; calculated volume = 75.5 Å³ per cell; SG = P-6m2; energy relative to the elements = -0.381 eV/atom
1.0
4.816 0.000 0.000
-2.408 4.170 0.000
0.000 0.000 3.757
Pr Al Cd
1 1 1
Direct
0.000 0.000 0.000
0.667 0.333 0.500
0.333 0.667 0.500

Entry 13:
Pm6HPb3, relaxed, DFT GGA-PBE; calculated volume = 569.7 Å³ per cell; SG = Cmc2_1; calculated total energy = -93.99 eV per cell
1.0
5.429 -8.768 0.000
5.429 8.768 0.000
0.000 0.000 5.984
Pm H Pb
12 2 6
Direct
0.071 0.929 0.500
0.094 0.574 0.345
0.250 0.750 0.837
0.260 0.405 0.994
0.405 0.260 0.494
0.426 0.906 0.345
0.574 0.094 0.845
0.595 0.740 0.994
0.740 0.595 0.494
0.750 0.250 0.337
0.906 0.426 0.845
0.929 0.071 0.000
0.199 0.801 0.490
0.801 0.199 0.990
0.068 0.257 0.515
0.257 0.068 0.015
0.410 0.590 0.512
0.590 0.410 0.012
0.743 0.932 0.515
0.932 0.743 0.015

Entry 14:
ZrZn2Hg, relaxed, DFT GGA-PBE; calculated volume = 74.4 Å³ per cell; SG = Pm; energy relative to the elements = -0.098 eV/atom
1.0
3.041 0.000 0.000
0.000 4.306 0.000
-1.504 0.000 5.678
Zr Zn Hg
1 2 1
Direct
0.000 0.000 0.000
0.271 0.000 0.535
0.390 0.500 0.779
0.651 0.500 0.301

Entry 15:
MnSbCl, relaxed, DFT GGA-PBE; calculated volume = 77.9 Å³ per cell; SG = P3m1; distance to the lowest polymorph of the same formula = 0.000 eV/atom; uncorrected formation energy = -0.36 eV/atom
1.0
3.435 0.000 0.000
-1.718 2.975 0.000
0.000 0.000 7.622
Mn Sb Cl
1 1 1
Direct
0.000 0.000 0.000
0.667 0.333 0.264
0.333 0.667 0.809

Entry 16:
Pr2Mg3, relaxed, DFT GGA-PBE; calculated volume = 287.4 Å³ per cell; SG = P4/mmm; distance to the lowest polymorph of the same formula = 0.000 eV/atom; energy relative to the elements = -0.086 eV/atom
1.0
3.883 0.000 0.000
0.000 3.883 0.000
0.000 0.000 19.058
Pr Mg
4 6
Direct
0.000 0.000 0.104
0.000 0.000 0.307
0.000 0.000 0.693
0.000 0.000 0.896
0.000 0.000 0.500
0.500 0.500 0.000
0.500 0.500 0.206
0.500 0.500 0.414
0.500 0.500 0.586
0.500 0.500 0.794

Entry 17:
As2Au2Br, relaxed, DFT GGA-PBE; calculated volume = 210.4 Å³ per cell; SG = P4/mbm; distance to the lowest polymorph of the same formula = 0.008 eV/atom; uncorrected formation energy = 0.24 eV/atom
1.0
8.644 0.000 0.000
0.000 8.644 0.000
0.000 0.000 2.816
As Au Br
4 4 2
Direct
0.137 0.363 0.000
0.363 0.863 0.000
0.637 0.137 0.000
0.863 0.637 0.000
0.153 0.653 0.500
0.347 0.153 0.500
0.653 0.847 0.500
0.847 0.347 0.500
0.000 0.000 0.500
0.500 0.500 0.500

Entry 18:
Ti3PtN, relaxed, DFT GGA-PBE; calculated volume = 140.9 Å³ per cell; SG = P2_1/m; uncorrected formation energy = -1.00 eV/atom
1.0
4.711 0.000 0.000
0.000 5.706 0.000
-0.107 0.000 5.240
Ti Pt N
6 2 2
Direct
0.229 0.250 0.128
0.255 0.003 0.647
0.255 0.497 0.647
0.745 0.503 0.353
0.745 0.997 0.353
0.771 0.750 0.872
0.223 0.750 0.140
0.777 0.250 0.860
0.476 0.250 0.463
0.524 0.750 0.537

Entry 19:
BaCaCo2, relaxed, DFT GGA-PBE; calculated volume = 95.7 Å³ per cell; SG = P4/mmm; distance to the lowest polymorph of the same formula = 0.525 eV/atom; energy relative to the elements = 0.661 eV/atom
1.0
5.148 0.000 0.000
0.000 5.148 0.000
0.000 0.000 3.610
Ba Ca Co
1 1 2
Direct
0.000 0.000 0.000
0.500 0.500 0.000
0.000 0.500 0.500
0.500 0.000 0.500

Entry 20:
ScAsN2, relaxed, DFT GGA-PBE; calculated volume = 54.9 Å³ per cell; SG = R-3m; uncorrected formation energy = -0.35 eV/atom
1.0
1.634 0.943 5.937
-1.634 0.943 5.937
0.000 -1.887 5.937
Sc As N
1 1 2
Direct
0.000 0.000 0.000
0.500 0.500 0.500
0.398 0.398 0.398
0.602 0.602 0.602